A plane-wave DFT calculation with PBE was carried out for a relaxed structure of MnSi5Ru6.

## Properties
As for the formation energy from raw total energies: -55.7 kJ per mole of atoms. The space group is No. 65. As for the crystal system: orthorhombic. For the total energy, the calculation gives -8.239 eV per atom.

Geometry as POSCAR:
```
MnSi5Ru6
1.0
-1.6048 -3.1807 -2.1517
-0.0876 -3.2725 4.9028
-4.9706 3.6439 2.3428
Ru Si Mn
6 5 1
Direct
0.8305 0.7471 0.6614
0.8305 0.2528 0.6614
0.5000 0.2582 0.0000
0.5000 0.7418 0.0000
0.1695 0.7472 0.3386
0.1695 0.2529 0.3386
0.6674 0.5000 0.3346
0.3381 0.0000 0.6763
0.0000 0.5000 0.0000
0.6619 0.0000 0.3237
0.3326 0.5000 0.6654
0.0000 0.0000 0.0000
```


A plane-wave DFT calculation with PBE was carried out for a relaxed structure of Mn2SiRu.

## Properties
As for the formation energy from raw total energies: -15.4 kJ per mole of atoms. The space group is No. 65. As for the crystal system: orthorhombic. For the total energy, the calculation gives -8.419 eV per atom.

Geometry as POSCAR:
```
Mn2SiRu
1.0
-1.4124 -1.8634 -3.8256
-2.6241 -1.2209 3.4243
-1.5637 2.1047 -0.4479
Mn Ru Si
2 1 1
Direct
0.0000 0.0000 0.0000
0.5000 0.5000 0.0000
0.5000 0.0000 0.5000
0.0000 0.5000 0.5000
```


A plane-wave DFT calculation with PBE was carried out for a relaxed structure of MnSiRu2.

## Properties
As for the formation energy from raw total energies: -4.3 kJ per mole of atoms. The space group is No. 47. As for the crystal system: orthorhombic. For the total energy, the calculation gives -8.330 eV per atom.

Geometry as POSCAR:
```
MnSiRu2
1.0
-2.1817 1.8773 0.1610
-2.7627 -3.0558 -1.8048
-0.9155 -1.3851 3.7466
Mn Ru Si
1 2 1
Direct
0.0000 0.5000 0.5000
0.0000 0.0000 0.0000
0.5000 0.5000 0.0000
0.5000 0.0000 0.5000
```


A plane-wave DFT calculation with PBE was carried out for a relaxed structure of MnSiRu.

## Properties
As for the formation energy from raw total energies: -19.4 kJ per mole of atoms. The space group is No. 156. As for the crystal system: trigonal. For the total energy, the calculation gives -8.157 eV per atom.

Geometry as POSCAR:
```
MnSiRu
1.0
3.9943 0.0000 0.0000
-1.9972 3.4592 0.0000
0.0000 0.0000 2.6810
Mn Ru Si
1 1 1
Direct
0.0000 0.0000 0.8664
0.3333 0.6667 0.3444
0.6667 0.3333 0.7892
```


A plane-wave DFT calculation with PBE was carried out for a relaxed structure of Mn2SiRu.

## Properties
As for the formation energy from raw total energies: -16.7 kJ per mole of atoms. The space group is No. 47. As for the crystal system: orthorhombic. For the total energy, the calculation gives -8.433 eV per atom.

Geometry as POSCAR:
```
Mn2SiRu
1.0
2.6698 0.0000 0.0000
0.0000 3.6668 0.0000
0.0000 0.0000 5.0090
Mn Ru Si
2 1 1
Direct
0.0000 0.0000 0.9910
0.0000 0.0000 0.5090
0.5000 0.5000 0.2500
0.5000 0.5000 0.7500
```


A plane-wave DFT calculation with PBE was carried out for a relaxed structure of MnSiRu2.

## Properties
As for the formation energy from raw total energies: -4.9 kJ per mole of atoms. The space group is No. 160. As for the crystal system: trigonal. For the total energy, the calculation gives -8.337 eV per atom.

Geometry as POSCAR:
```
MnSiRu2
1.0
-2.5580 2.1120 2.1697
-2.8560 -1.8385 2.0433
0.7937 -0.2123 4.7631
Mn Si Ru
1 1 2
Direct
0.4837 0.4837 0.5490
0.6761 0.6761 0.9716
0.0709 0.0709 0.7872
0.2693 0.2693 0.1922
```


A plane-wave DFT calculation with PBE was carried out for a relaxed structure of Mn2SiRu.

## Properties
As for the formation energy from raw total energies: -15.3 kJ per mole of atoms. The space group is No. 123. As for the crystal system: tetragonal. For the total energy, the calculation gives -8.418 eV per atom.

Geometry as POSCAR:
```
Mn2SiRu
1.0
2.7499 -0.0108 0.0000
0.0109 2.7499 0.0000
0.0000 0.0000 6.1817
Mn Ru Si
2 1 1
Direct
0.0000 0.0000 0.9777
0.0000 0.0000 0.5223
0.5000 0.5000 0.2500
0.5000 0.5000 0.7500
```


A plane-wave DFT calculation with PBE was carried out for a relaxed structure of MnSi4Ru5.

## Properties
As for the formation energy from raw total energies: -52.0 kJ per mole of atoms. The space group is No. 123. As for the crystal system: tetragonal. For the total energy, the calculation gives -8.263 eV per atom.

Geometry as POSCAR:
```
MnSi4Ru5
1.0
-2.8131 -0.4632 -0.7374
0.2937 -2.8522 0.6713
-4.1305 2.8604 13.9597
Mn Si Ru
1 4 5
Direct
0.0000 0.0000 0.0000
0.0000 0.0000 0.2002
0.0000 0.0000 0.4003
0.0000 0.0000 0.5997
0.0000 0.0000 0.7998
0.5000 0.5000 0.1086
0.5000 0.5000 0.3035
0.5000 0.5000 0.5000
0.5000 0.5000 0.6965
0.5000 0.5000 0.8914
```


A plane-wave DFT calculation with PBE was carried out for a relaxed structure of MnSiRu.

## Properties
As for the formation energy from raw total energies: -30.4 kJ per mole of atoms. The space group is No. 107. As for the crystal system: tetragonal. For the total energy, the calculation gives -8.272 eV per atom.

Geometry as POSCAR:
```
MnSiRu
1.0
4.9178 0.0066 -0.0072
4.0971 2.7200 -0.0067
0.8207 0.2477 2.7021
Mn Ru Si
1 1 1
Direct
0.9862 0.9862 0.0138
0.6738 0.6738 0.3262
0.3400 0.3400 0.6600
```


A plane-wave DFT calculation with PBE was carried out for a relaxed structure of MnSiRu2.

## Properties
As for the formation energy from raw total energies: 2.9 kJ per mole of atoms. The space group is No. 216. As for the crystal system: cubic. For the total energy, the calculation gives -8.256 eV per atom.

Geometry as POSCAR:
```
MnSiRu2
1.0
-3.5933 -0.5193 -2.0812
-2.3602 -3.3818 0.7114
-3.6534 0.3822 2.0049
Mn Ru Si
1 2 1
Direct
0.5000 0.5000 0.5000
0.0000 0.0000 0.0000
0.7500 0.7500 0.7500
0.2500 0.2500 0.2500
```


A plane-wave DFT calculation with PBE was carried out for a relaxed structure of Mn2SiRu.

## Properties
As for the formation energy from raw total energies: -36.6 kJ per mole of atoms. The space group is No. 216. As for the crystal system: cubic. For the total energy, the calculation gives -8.639 eV per atom.

Geometry as POSCAR:
```
Mn2SiRu
1.0
4.0976 -0.0004 0.0000
0.0037 4.0976 0.0000
-2.0507 -2.0486 2.8963
Ru Si Mn
1 1 2
Direct
0.5000 0.5000 0.0000
0.7500 0.2500 0.5000
0.0000 0.0000 0.0000
0.2500 0.7500 0.5000
```


A plane-wave DFT calculation with PBE was carried out for a relaxed structure of MnSiRu2.

## Properties
As for the formation energy from raw total energies: -27.5 kJ per mole of atoms. The space group is No. 8. As for the crystal system: monoclinic. For the total energy, the calculation gives -8.571 eV per atom.

Geometry as POSCAR:
```
MnSiRu2
1.0
4.7030 -0.0185 -0.0064
3.8337 2.7241 -0.0064
1.3071 0.4143 4.0657
Mn Ru Si
1 2 1
Direct
0.2445 0.2445 0.2026
0.9946 0.9946 0.0617
0.7598 0.7598 0.6855
0.5010 0.5010 0.5503
```